Entry 1:
Here is an optimized crystal structure of NaErNO from OQMD via LeMat-Bulk. Energies are from PBE.

Values from the calculation:
The excess energy over the best structure of this formula in the dataset is 0.11 eV per formula unit. Its symmetry is No. 123.

abc: 3.411 3.411 4.554
angles: 90.00 90.00 90.00
Element x y z (fractional)
Na (0.000, 0.000, 0.000)
Er (0.500, 0.500, 0.500)
N (0.000, 0.000, 0.500)
O (0.500, 0.500, 0.000)

***

Entry 2:
Here is an optimized crystal structure of NaErNO from OQMD via LeMat-Bulk. Energies are from PBE.

Values from the calculation:
The excess energy over the best structure of this formula in the dataset is 0.19 eV per formula unit. Its symmetry is No. 51.

abc: 4.615 4.080 6.723
angles: 90.00 90.00 90.00
Element x y z (fractional)
Na (0.250, 0.000, 0.174)
Na (0.750, 0.000, 0.826)
Er (0.250, 0.500, 0.681)
Er (0.750, 0.500, 0.319)
N (0.250, 0.000, 0.824)
N (0.750, 0.000, 0.176)
O (0.250, 0.500, 0.359)
O (0.750, 0.500, 0.641)

***

Entry 3:
Here is an optimized crystal structure of NaErNO from OQMD via LeMat-Bulk. Energies are from PBE.

Values from the calculation:
The excess energy over the best structure of this formula in the dataset is 1.20 eV per formula unit. Its symmetry is No. 129.

abc: 3.717 3.717 8.290
angles: 90.00 90.00 90.00
Element x y z (fractional)
Na (0.250, 0.750, 0.000)
Na (0.750, 0.250, 0.000)
Er (0.250, 0.250, 0.362)
Er (0.750, 0.750, 0.638)
N (0.250, 0.250, 0.814)
N (0.750, 0.750, 0.186)
O (0.250, 0.750, 0.500)
O (0.750, 0.250, 0.500)

***

Entry 4:
Here is an optimized crystal structure of NaErNO from OQMD via LeMat-Bulk. Energies are from PBE.

Values from the calculation:
The excess energy over the best structure of this formula in the dataset is 0.35 eV per formula unit. Its symmetry is No. 29.

abc: 6.703 8.074 4.755
angles: 90.00 90.00 90.00
Element x y z (fractional)
Na (0.095, 0.103, 0.000)
Na (0.405, 0.103, 0.500)
Na (0.595, 0.897, 0.000)
Na (0.905, 0.897, 0.500)
Er (0.069, 0.639, 0.991)
Er (0.431, 0.639, 0.491)
Er (0.569, 0.361, 0.991)
Er (0.931, 0.361, 0.491)
N (0.098, 0.610, 0.490)
N (0.402, 0.610, 0.990)
N (0.598, 0.390, 0.490)
N (0.902, 0.390, 0.990)
O (0.072, 0.139, 0.498)
O (0.428, 0.139, 0.998)
O (0.572, 0.861, 0.498)
O (0.928, 0.861, 0.998)

***

Entry 5:
Here is an optimized crystal structure of NaErNO from OQMD via LeMat-Bulk. Energies are from PBE.

Values from the calculation:
The excess energy over the best structure of this formula in the dataset is 0.00 eV per formula unit. Its symmetry is No. 51.

abc: 4.674 3.752 7.267
angles: 90.00 90.00 90.00
Element x y z (fractional)
Na (0.250, 0.000, 0.138)
Na (0.750, 0.000, 0.862)
Er (0.250, 0.500, 0.676)
Er (0.750, 0.500, 0.324)
N (0.250, 0.500, 0.362)
N (0.750, 0.500, 0.638)
O (0.250, 0.000, 0.820)
O (0.750, 0.000, 0.180)

***

Entry 6:
Here is an optimized crystal structure of NaErNO from OQMD via LeMat-Bulk. Energies are from PBE.

Values from the calculation:
The excess energy over the best structure of this formula in the dataset is 0.95 eV per formula unit. Its symmetry is No. 29.

abc: 6.421 7.700 5.714
angles: 90.00 90.00 90.00
Element x y z (fractional)
Na (0.071, 0.112, 0.000)
Na (0.429, 0.112, 0.500)
Na (0.571, 0.888, 0.000)
Na (0.929, 0.888, 0.500)
Er (0.077, 0.619, 0.963)
Er (0.423, 0.619, 0.463)
Er (0.577, 0.381, 0.963)
Er (0.923, 0.381, 0.463)
N (0.079, 0.156, 0.588)
N (0.421, 0.156, 0.088)
N (0.579, 0.844, 0.588)
N (0.921, 0.844, 0.088)
O (0.105, 0.601, 0.586)
O (0.395, 0.601, 0.086)
O (0.605, 0.399, 0.586)
O (0.895, 0.399, 0.086)

***

Entry 7:
Here is an optimized crystal structure of Er2NbN3 from OQMD via LeMat-Bulk. Energies are from PBE.

Values from the calculation:
As for the total energy: -8.88 eV/atom. Its symmetry is No. 164.

abc: 3.297 3.297 8.092
angles: 90.00 90.00 120.00
Element x y z (fractional)
Er (0.333, 0.667, 0.326)
Er (0.667, 0.333, 0.674)
Nb (0.000, 0.000, 0.000)
N (0.000, 0.000, 0.500)
N (0.333, 0.667, 0.849)
N (0.667, 0.333, 0.151)

***

Entry 8:
Here is an optimized crystal structure of ErNbNO from OQMD via LeMat-Bulk. Energies are from PBE.

Values from the calculation:
The excess energy over the best structure of this formula in the dataset is 0.00 eV per formula unit. Its symmetry is No. 129.

abc: 3.971 3.971 7.849
angles: 90.00 90.00 90.00
Element x y z (fractional)
Er (0.250, 0.250, 0.127)
Er (0.750, 0.750, 0.873)
Nb (0.250, 0.750, 0.500)
Nb (0.750, 0.250, 0.500)
N (0.250, 0.250, 0.598)
N (0.750, 0.750, 0.402)
O (0.250, 0.750, 0.000)
O (0.750, 0.250, 0.000)

***

Entry 9:
Here is an optimized crystal structure of ErNbN2O from OQMD via LeMat-Bulk. Energies are from PBE.

Values from the calculation:
As for the total energy: -9.05 eV/atom. Its symmetry is No. 26.

abc: 7.787 5.481 5.753
angles: 90.00 90.00 90.00
Element x y z (fractional)
Er (0.000, 0.243, 0.000)
Er (0.000, 0.757, 0.500)
Er (0.500, 0.249, 0.126)
Er (0.500, 0.751, 0.626)
Nb (0.257, 0.267, 0.577)
Nb (0.257, 0.733, 0.077)
Nb (0.743, 0.267, 0.577)
Nb (0.743, 0.733, 0.077)
N (0.000, 0.350, 0.588)
N (0.000, 0.650, 0.088)
N (0.305, 0.437, 0.870)
N (0.305, 0.563, 0.370)
N (0.500, 0.136, 0.508)
N (0.500, 0.864, 0.008)
N (0.695, 0.437, 0.870)
N (0.695, 0.563, 0.370)
O (0.194, 0.064, 0.235)
O (0.194, 0.936, 0.735)
O (0.806, 0.064, 0.235)
O (0.806, 0.936, 0.735)

***

Entry 10:
Here is an optimized crystal structure of ErNbN2O from OQMD via LeMat-Bulk. Energies are from PBE.

Values from the calculation:
As for the total energy: -9.02 eV/atom. Its symmetry is No. 62.

abc: 5.704 7.850 5.452
angles: 90.00 90.00 90.00
Element x y z (fractional)
Er (0.062, 0.250, 0.025)
Er (0.438, 0.750, 0.525)
Er (0.562, 0.250, 0.475)
Er (0.938, 0.750, 0.975)
Nb (0.000, 0.000, 0.500)
Nb (0.000, 0.500, 0.500)
Nb (0.500, 0.000, 0.000)
Nb (0.500, 0.500, 0.000)
N (0.205, 0.565, 0.798)
N (0.205, 0.935, 0.798)
N (0.295, 0.065, 0.298)
N (0.295, 0.435, 0.298)
N (0.705, 0.565, 0.702)
N (0.705, 0.935, 0.702)
N (0.795, 0.065, 0.202)
N (0.795, 0.435, 0.202)
O (0.045, 0.750, 0.373)
O (0.455, 0.250, 0.873)
O (0.545, 0.750, 0.127)
O (0.955, 0.250, 0.627)

***

Entry 11:
Here is an optimized crystal structure of ErNbN2O from OQMD via LeMat-Bulk. Energies are from PBE.

Values from the calculation:
As for the total energy: -8.72 eV/atom. Its symmetry is No. 194.

abc: 5.711 5.711 14.015
angles: 90.00 90.00 120.00
Element x y z (fractional)
Er (0.000, 0.000, 0.250)
Er (0.000, 0.000, 0.750)
Er (0.333, 0.667, 0.129)
Er (0.333, 0.667, 0.371)
Er (0.667, 0.333, 0.629)
Er (0.667, 0.333, 0.871)
Nb (0.000, 0.000, 0.000)
Nb (0.000, 0.000, 0.500)
Nb (0.333, 0.667, 0.645)
Nb (0.333, 0.667, 0.855)
Nb (0.667, 0.333, 0.145)
Nb (0.667, 0.333, 0.355)
N (0.157, 0.314, 0.594)
N (0.157, 0.314, 0.906)
N (0.157, 0.843, 0.594)
N (0.157, 0.843, 0.906)
N (0.314, 0.157, 0.094)
N (0.314, 0.157, 0.406)
N (0.686, 0.843, 0.594)
N (0.686, 0.843, 0.906)
N (0.843, 0.157, 0.094)
N (0.843, 0.157, 0.406)
N (0.843, 0.686, 0.094)
N (0.843, 0.686, 0.406)
O (0.024, 0.512, 0.250)
O (0.488, 0.512, 0.250)
O (0.488, 0.976, 0.250)
O (0.512, 0.024, 0.750)
O (0.512, 0.488, 0.750)
O (0.976, 0.488, 0.750)

***

Entry 12:
Here is an optimized crystal structure of ErNbNO from OQMD via LeMat-Bulk. Energies are from PBE.

Values from the calculation:
The excess energy over the best structure of this formula in the dataset is 1.05 eV per formula unit. Its symmetry is No. 26.

abc: 3.331 6.146 5.981
angles: 90.00 90.00 90.00
Element x y z (fractional)
Er (0.000, 0.181, 0.000)
Er (0.000, 0.819, 0.500)
Nb (0.500, 0.357, 0.498)
Nb (0.500, 0.643, 0.998)
N (0.500, 0.355, 0.824)
N (0.500, 0.645, 0.324)
O (0.000, 0.148, 0.358)
O (0.000, 0.852, 0.858)